Entry 1:
This record from Alexandria describes an optimized crystal structure of TiBe2Mo2Ru5. The functional is PBE-GGA.

Cell and atoms, written as POSCAR:
```
TiBe2Mo2Ru5
1.0
-1.963 0.989 2.081
-2.397 -8.811 1.928
6.687 -0.397 6.497
Ru Ti Mo Be
10 2 4 4
Cartesian
2.362 0.296 4.289
2.393 -4.819 6.750
-0.065 -3.400 3.756
0.187 -5.925 5.195
4.136 -0.446 6.315
2.141 -2.294 5.312
-1.008 -1.377 1.906
3.335 -6.841 8.600
-1.808 -7.773 4.191
-2.180 -3.911 2.005
0.000 0.000 0.000
2.145 -4.604 4.213
-0.449 -6.014 2.436
1.757 -1.669 2.450
2.534 -7.539 5.975
4.739 -3.194 5.989
4.366 -5.842 6.897
0.417 -7.871 4.135
-0.076 -3.365 1.529
3.874 -1.337 4.290
```

Summary:
Total energy ... -8.584 eV/atom
SG ... P4/mbm (127)

***

Entry 2:
This record from Alexandria describes an optimized crystal structure of BiI2NO. The functional is PBE-GGA.

Cell and atoms, written as POSCAR:
```
BiI2NO
1.0
-3.231 5.199 1.548
-3.969 -3.494 3.451
2.483 0.532 3.394
Bi N I O
1 1 2 1
Cartesian
0.000 0.000 0.000
-2.359 1.119 4.197
-1.615 2.600 0.774
-1.984 -1.747 1.725
1.241 0.266 1.697
```

Summary:
Formation energy from raw total energies ... 0.8216 eV/atom
SG ... P4/mmm (123)

***

Entry 3:
This record from Alexandria describes an optimized crystal structure of BIr2C. The functional is PBE-GGA.

Cell and atoms, written as POSCAR:
```
BIr2C
1.0
2.242 -3.008 0.978
1.097 -0.482 3.688
-1.470 -2.913 2.095
Ir C B
2 1 1
Cartesian
0.467 -1.601 1.690
1.402 -4.803 5.070
0.935 -3.202 3.380
0.000 0.000 0.000
```

Summary:
Total energy ... -7.424 eV/atom
SG ... Fm-3m (225)

***

Entry 4:
This record from Alexandria describes an optimized crystal structure of Nd2ErH. The functional is PBE-GGA.

Cell and atoms, written as POSCAR:
```
Nd2ErH
1.0
3.438 0.000 0.000
0.000 3.438 0.000
0.000 0.000 8.590
H Er Nd
1 1 2
Cartesian
1.719 1.719 0.000
1.719 1.719 4.295
0.000 0.000 1.649
0.000 0.000 6.941
```

Summary:
Total energy ... -4.275 eV/atom
SG ... P4/mmm (123)

***

Entry 5:
This record from Alexandria describes an optimized crystal structure of ZrTcNi2. The functional is PBE-GGA.

Cell and atoms, written as POSCAR:
```
ZrTcNi2
1.0
4.364 0.000 0.000
2.182 3.780 0.000
2.182 1.260 3.564
Ni Tc Zr
2 1 1
Cartesian
0.000 0.000 0.000
2.182 1.260 0.891
4.364 2.520 1.782
6.547 3.780 2.673
```

Summary:
Total energy ... -7.608 eV/atom
SG ... F-43m (216)

***

Entry 6:
This record from Alexandria describes an optimized crystal structure of LaMgW4. The functional is PBE-GGA.

Cell and atoms, written as POSCAR:
```
LaMgW4
1.0
-0.237 -4.865 2.619
-4.765 -2.800 0.206
-0.589 -4.674 -2.897
W La Mg
4 1 1
Cartesian
-2.216 -7.059 1.281
-4.477 -6.027 0.076
-2.097 -4.629 -0.027
-2.391 -6.963 -1.474
-4.193 -9.254 -0.054
0.000 0.000 0.000
```

Summary:
Total energy ... -9.241 eV/atom
SG ... F-43m (216)

***

Entry 7:
This record from Alexandria describes an optimized crystal structure of La2NiGe3. The functional is PBE-GGA.

Cell and atoms, written as POSCAR:
```
La2NiGe3
1.0
-3.263 4.609 -2.251
-4.736 -1.319 3.576
6.674 2.774 4.510
Ge Ni La
6 2 4
Cartesian
-3.185 3.826 0.164
2.564 5.071 2.885
-3.889 0.993 2.949
0.927 1.532 1.793
-2.252 4.532 4.041
1.860 2.239 5.670
1.784 2.947 3.449
-3.109 3.117 2.385
-0.294 4.514 1.460
-1.964 0.808 0.325
-6.035 2.483 0.999
-1.031 1.550 4.374
```

Summary:
Total energy ... -5.723 eV/atom
SG ... Fmmm (69)

***

Entry 8:
This record from Alexandria describes an optimized crystal structure of Pu3U2TaN6. The functional is PBE-GGA.

Cell and atoms, written as POSCAR:
```
Pu3U2TaN6
1.0
5.863 0.001 0.004
-2.929 5.079 0.004
-0.975 -1.689 5.562
Ta N Pu U
1 6 3 2
Cartesian
0.000 0.000 0.000
0.082 3.391 4.324
1.998 3.459 1.270
1.876 0.000 1.246
-0.040 -0.068 4.299
-0.937 1.625 1.246
2.896 1.766 4.324
-1.960 3.393 2.785
0.979 1.696 2.785
3.919 -0.002 2.785
0.003 3.386 0.004
2.931 1.694 0.004
```

Summary:
Formation energy from raw total energies ... -1.3003 eV/atom
SG ... C2/m (12)

***

Entry 9:
This record from Alexandria describes an optimized crystal structure of La2InP. The functional is PBE-GGA.

Cell and atoms, written as POSCAR:
```
La2InP
1.0
3.647 0.046 0.000
-0.550 3.606 0.000
0.000 0.000 8.879
In La P
1 2 1
Cartesian
1.549 1.826 6.199
1.549 1.826 2.933
0.000 0.000 8.474
0.000 0.000 4.592
```

Summary:
Total energy ... -4.850 eV/atom
SG ... Cmm2 (35)

***

Entry 10:
This record from Alexandria describes an optimized crystal structure of BaLa2PrIn4. The functional is PBE-GGA.

Cell and atoms, written as POSCAR:
```
BaLa2PrIn4
1.0
5.664 0.000 0.000
2.832 4.906 0.000
2.832 1.635 9.297
La In Pr Ba
2 4 1 1
Cartesian
8.497 4.906 7.024
2.832 1.635 2.273
5.664 3.270 1.307
8.497 4.906 3.583
5.664 3.270 7.990
2.832 1.635 5.714
5.664 3.270 4.648
0.000 0.000 0.000
```

Summary:
Total energy ... -3.870 eV/atom
SG ... R-3m (166)

***

Entry 11:
This record from Alexandria describes an optimized crystal structure of Be2SbPt. The functional is PBE-GGA.

Cell and atoms, written as POSCAR:
```
Be2SbPt
1.0
-1.051 -4.354 -1.998
2.318 -0.872 -4.234
1.395 1.510 4.453
Sb Pt Be
1 1 2
Cartesian
0.489 -2.729 -0.330
0.634 -2.613 -3.116
0.000 0.000 0.000
2.173 -0.987 -1.448
```

Summary:
Formation energy from raw total energies ... 0.1731 eV/atom
SG ... I-4m2 (119)

***

Entry 12:
This record from Alexandria describes an optimized crystal structure of Na4AgBr6. The functional is PBE-GGA.

Cell and atoms, written as POSCAR:
```
Na4AgBr6
1.0
-5.732 5.259 1.465
-5.522 -1.374 4.711
3.844 6.593 12.753
Na Br Ag
8 12 2
Cartesian
-6.956 8.214 12.305
-4.457 2.747 7.663
-4.816 4.410 3.240
-2.115 0.799 3.969
-2.902 7.375 16.586
-4.634 4.951 13.131
-4.672 7.160 8.520
-1.866 8.650 12.219
-1.897 6.524 7.805
-4.840 4.533 9.977
-2.129 11.322 13.367
-3.231 9.332 9.837
-7.684 3.554 4.067
0.491 7.921 13.832
-4.335 7.927 13.839
-1.565 2.525 8.004
-0.641 5.875 10.975
-4.373 2.099 4.910
-7.520 3.907 7.516
-4.808 6.521 5.442
-7.519 4.906 9.933
0.968 5.398 12.982
```

Summary:
Formation energy from raw total energies ... -1.1305 eV/atom
SG ... Cc (9)

***

Entry 13:
This record from Alexandria describes an optimized crystal structure of ThCd4Au2. The functional is PBE-GGA.

Cell and atoms, written as POSCAR:
```
ThCd4Au2
1.0
-1.209 2.891 2.958
-1.331 -6.396 5.706
8.218 0.687 2.687
Th Au Cd
2 4 8
Cartesian
3.444 -2.854 4.196
-0.604 1.445 1.479
4.055 -2.416 7.157
6.533 -0.563 3.220
1.624 -0.402 4.194
0.354 -5.146 5.173
6.528 -3.565 6.152
4.178 -5.308 6.895
2.709 -0.400 1.498
1.559 -3.689 7.381
5.814 -0.533 6.036
4.119 0.871 3.970
0.360 -2.143 2.241
-0.135 -2.284 5.315
```

Summary:
Total energy ... -2.802 eV/atom
SG ... P4_2/mnm (136)

***

Entry 14:
This record from Alexandria describes an optimized crystal structure of CaSb2Cl. The functional is PBE-GGA.

Cell and atoms, written as POSCAR:
```
CaSb2Cl
1.0
-4.072 0.656 -0.831
0.692 -7.089 1.424
-1.005 -0.501 4.047
Ca Sb Cl
1 2 1
Cartesian
-0.157 -3.795 2.735
-2.539 0.078 1.608
0.000 0.000 0.000
-1.690 -3.217 0.296
```

Summary:
Formation energy from raw total energies ... -0.8162 eV/atom
SG ... Fmmm (69)

***

Entry 15:
This record from Alexandria describes an optimized crystal structure of TmUS4. The functional is PBE-GGA.

Cell and atoms, written as POSCAR:
```
TmUS4
1.0
-1.082 2.205 3.244
-1.588 -5.198 3.003
5.800 -0.370 2.186
U S Tm
1 4 1
Cartesian
2.106 -2.784 2.595
0.849 -1.122 1.046
2.969 -0.764 4.062
0.161 -2.599 4.372
3.363 -4.446 4.144
-0.541 1.102 1.622
```

Summary:
Formation energy from raw total energies ... -1.5016 eV/atom
SG ... Cmmm (65)

***

Entry 16:
This record from Alexandria describes an optimized crystal structure of K2AcUSe4. The functional is PBE-GGA.

Cell and atoms, written as POSCAR:
```
K2AcUSe4
1.0
-2.840 -2.093 2.659
-2.316 -4.346 -5.895
6.208 -3.769 3.663
K Ac Se U
2 1 4 1
Cartesian
1.946 -4.057 -1.116
1.684 -2.931 3.161
0.000 0.000 0.000
1.713 -7.240 -0.200
-0.378 -3.920 -3.490
-0.661 -2.968 0.628
4.270 -4.194 1.259
-2.578 -3.220 -1.618
```

Summary:
Formation energy from raw total energies ... -1.4914 eV/atom
SG ... P2/m (10)

***

Entry 17:
This record from Alexandria describes an optimized crystal structure of RbTeS2Cl. The functional is PBE-GGA.

Cell and atoms, written as POSCAR:
```
RbTeS2Cl
1.0
-1.852 2.685 4.002
-2.645 -4.150 1.560
4.320 -1.599 3.071
Cl S Te Rb
1 2 1 1
Cartesian
2.160 -0.799 1.536
-0.926 1.342 2.001
-1.323 -2.075 0.780
0.000 0.000 0.000
-0.089 -1.532 4.317
```

Summary:
Formation energy from raw total energies ... -0.4889 eV/atom
SG ... P4/mmm (123)

***

Entry 18:
This record from Alexandria describes an optimized crystal structure of Pr2MgPa. The functional is PBE-GGA.

Cell and atoms, written as POSCAR:
```
Pr2MgPa
1.0
-1.357 -0.173 -3.189
4.607 -3.079 -1.793
-2.741 -4.935 1.434
Pr Mg Pa
2 1 1
Cartesian
2.303 -1.540 -0.896
-1.370 -2.467 0.717
-0.678 -0.086 -1.595
0.255 -4.094 -1.774
```

Summary:
Total energy ... -4.967 eV/atom
SG ... P4/mmm (123)

***

Entry 19:
This record from Alexandria describes an optimized crystal structure of RbAl2OsPt. The functional is PBE-GGA.

Cell and atoms, written as POSCAR:
```
RbAl2OsPt
1.0
-4.478 0.067 -1.626
-0.753 -5.029 1.867
-1.486 1.770 4.166
Al Os Pt Rb
2 1 1 1
Cartesian
-2.239 0.034 -0.813
-0.743 0.885 2.083
0.000 0.000 0.000
-3.359 -1.596 2.204
-0.377 -2.515 0.934
```

Summary:
Total energy ... -4.177 eV/atom
SG ... P4/mmm (123)

***

Entry 20:
This record from Alexandria describes an optimized crystal structure of RbVCuSe2. The functional is PBE-GGA.

Cell and atoms, written as POSCAR:
```
RbVCuSe2
1.0
-4.309 2.857 -1.643
-1.227 -4.068 -3.855
-3.718 -1.537 7.075
Se V Cu Rb
4 2 2 2
Cartesian
-2.207 0.046 0.654
-4.622 -0.794 -1.960
-4.632 -1.954 3.536
-7.047 -2.793 0.922
-2.461 0.412 -1.785
-3.075 -1.622 -3.713
-0.614 -2.034 -1.927
0.000 0.000 0.000
-3.752 -3.174 0.275
-5.502 0.427 1.301
```

Summary:
Formation energy from raw total energies ... -0.5776 eV/atom
SG ... Cmme (67)

***

Entry 21:
This record from Alexandria describes an optimized crystal structure of K2Na2Sn. The functional is PBE-GGA.

Cell and atoms, written as POSCAR:
```
K2Na2Sn
1.0
6.088 0.000 0.000
3.044 6.481 -0.634
3.044 1.490 10.394
K Sn Na
4 2 4
Cartesian
9.132 3.496 9.964
3.044 4.476 -0.205
6.088 7.276 6.274
6.088 0.696 3.485
3.044 0.536 1.345
9.132 7.436 8.414
6.088 4.785 3.075
6.088 3.187 6.685
3.044 2.948 3.462
9.132 5.024 6.297
```

Summary:
Total energy ... -1.840 eV/atom
SG ... C2/m (12)

***

Entry 22:
This record from Alexandria describes an optimized crystal structure of Rb2TbSb4Au3. The functional is PBE-GGA.

Cell and atoms, written as POSCAR:
```
Rb2TbSb4Au3
1.0
4.893 0.000 0.000
0.000 4.893 0.000
0.000 0.000 12.222
Rb Au Tb Sb
2 3 1 4
Cartesian
0.000 2.446 9.259
2.446 0.000 2.963
0.000 2.446 1.515
2.446 0.000 10.707
0.000 0.000 6.111
2.446 2.446 6.111
2.446 2.446 0.000
2.446 0.000 7.856
0.000 2.446 4.366
0.000 0.000 0.000
```

Summary:
Formation energy from raw total energies ... -0.4549 eV/atom
SG ... P-4m2 (115)

***

Entry 23:
This record from Alexandria describes an optimized crystal structure of NaAg5Sn2. The functional is PBE-GGA.

Cell and atoms, written as POSCAR:
```
NaAg5Sn2
1.0
4.237 0.000 0.000
2.119 6.748 0.069
2.119 2.096 6.415
Ag Sn Na
5 2 1
Cartesian
4.237 4.734 5.265
4.237 6.445 2.931
4.237 4.109 1.219
2.119 4.422 3.242
4.237 2.398 3.552
6.356 6.739 4.941
2.119 2.104 1.543
0.000 0.000 0.000
```

Summary:
Total energy ... -2.923 eV/atom
SG ... Immm (71)

***

Entry 24:
This record from Alexandria describes an optimized crystal structure of FeCuC3. The functional is PBE-GGA.

Cell and atoms, written as POSCAR:
```
FeCuC3
1.0
3.721 0.000 0.000
0.000 3.721 0.000
0.000 0.000 3.721
C Cu Fe
3 1 1
Cartesian
0.000 0.000 1.860
0.000 1.860 0.000
1.860 0.000 0.000
1.860 1.860 1.860
0.000 0.000 0.000
```

Summary:
Total energy ... -6.016 eV/atom
SG ... Pm-3m (221)

***

| no. | size of the total moment (μB per cell) |
| --- | --- |
| 1 | 0.0 |
| 2 | 2.6 |
| 3 | 0.0 |
| 4 | 0.0 |
| 5 | 2.4 |
| 6 | 0.0 |
| 7 | 0.0 |
| 8 | 15.1 |
| 9 | 0.0 |
| 10 | 0.0 |
| 11 | 0.0 |
| 12 | 0.0 |
| 13 | 0.0 |
| 14 | 0.0 |
| 15 | 1.0 |
| 16 | 3.0 |
| 17 | 0.0 |
| 18 | 0.7 |
| 19 | 0.0 |
| 20 | 2.4 |
| 21 | 0.0 |
| 22 | 0.0 |
| 23 | 0.0 |
| 24 | 0.0 |